Pm2GaCo4P3 | PBE-GGA | relaxed

Values from the calculation:
Its mass density is 7.69 g/cm³. The calculated formation energy comes out at -0.849 eV/atom. Its volume is 14.86 Å³ per atom.

CIF file:
```
data_Pm2GaCo4P3
_chemical_formula_sum 'Pm2 Ga1 Co4 P3'
_symmetry_space_group_name_H-M 'P -4 m 2'
_symmetry_Int_Tables_number 115
_cell_length_a 3.976
_cell_length_b 3.976
_cell_length_c 9.397
_cell_angle_alpha 90.00
_cell_angle_beta 90.00
_cell_angle_gamma 90.00
loop_
_symmetry_equiv_pos_as_xyz
'x,y,z'
'y,-x,-z'
'-x,-y,z'
'-y,x,-z'
'-x,y,z'
'-y,-x,-z'
'x,-y,z'
'y,x,-z'
loop_
_atom_site_label
_atom_site_type_symbol
_atom_site_fract_x
_atom_site_fract_y
_atom_site_fract_z
_atom_site_occupancy
Pm1 Pm 0.000 0.500 0.249 1
Ga1 Ga 0.000 0.000 0.500 1
Co1 Co 0.000 0.000 0.000 1
Co2 Co 0.000 0.500 0.632 1
Co3 Co 0.500 0.500 0.000 1
P1 P 0.000 0.500 0.872 1
P2 P 0.500 0.500 0.500 1
```